No. 1
Entry from the Alexandria database: a relaxed Li3Ca2GaCu12 crystal (PBE).

## Properties
**Space group**: No. 166
**Magnetization**: 0.00 μB/f.u.

a b c (Å): 10.2442 10.2442 10.2442
angles (deg): 33.40 33.40 33.40
Fractional positions:
Li1 0.5000 0.0000 0.0000
Li2 0.0000 0.5000 0.0000
Li3 0.0000 0.0000 0.5000
Ca1 0.6443 0.6443 0.6443
Ca2 0.3557 0.3557 0.3557
Ga1 0.0000 0.0000 0.0000
Cu1 0.4152 0.4152 0.8191
Cu2 0.9227 0.9227 0.3617
Cu3 0.3617 0.9227 0.9227
Cu4 0.8191 0.4152 0.4152
Cu5 0.9227 0.3617 0.9227
Cu6 0.4152 0.8191 0.4152
Cu7 0.5848 0.5848 0.1809
Cu8 0.0773 0.0773 0.6383
Cu9 0.6383 0.0773 0.0773
Cu10 0.1809 0.5848 0.5848
Cu11 0.0773 0.6383 0.0773
Cu12 0.5848 0.1809 0.5848

=====

No. 2
Entry from the Alexandria database: a relaxed LiCa2Ga5Cu2 crystal (PBE).

## Properties
**Space group**: No. 127
**Magnetization**: 0.00 μB/f.u.

a b c (Å): 4.0704 9.5213 9.5213
angles (deg): 90.00 90.00 90.00
Fractional positions:
Li1 0.0000 0.0000 0.0000
Li2 0.0000 0.5000 0.5000
Ca1 0.0000 0.6841 0.1841
Ca2 0.0000 0.3159 0.8159
Ca3 0.0000 0.1841 0.3159
Ca4 0.0000 0.8159 0.6841
Ga1 0.5000 0.2094 0.0562
Ga2 0.5000 0.7906 0.9438
Ga3 0.5000 0.0562 0.7906
Ga4 0.5000 0.7094 0.4438
Ga5 0.5000 0.9438 0.2094
Ga6 0.5000 0.2906 0.5562
Ga7 0.5000 0.5562 0.7094
Ga8 0.5000 0.4438 0.2906
Ga9 0.5000 0.5000 0.0000
Ga10 0.5000 0.0000 0.5000
Cu1 0.0000 0.1099 0.6099
Cu2 0.0000 0.8901 0.3901
Cu3 0.0000 0.6099 0.8901
Cu4 0.0000 0.3901 0.1099

=====

No. 3
Entry from the Alexandria database: a relaxed Ca2MgGa3Cu12 crystal (PBE).

## Properties
**Space group**: No. 166
**Magnetization**: 0.00 μB/f.u.

a b c (Å): 6.5615 6.5615 6.5615
angles (deg): 85.65 85.65 85.65
Fractional positions:
Ca1 0.7005 0.7005 0.7005
Ca2 0.2995 0.2995 0.2995
Mg1 0.0000 0.0000 0.0000
Ga1 0.5000 0.0000 0.0000
Ga2 0.0000 0.5000 0.0000
Ga3 0.0000 0.0000 0.5000
Cu1 0.4115 0.4115 0.8701
Cu2 0.8021 0.8021 0.2874
Cu3 0.2874 0.8021 0.8021
Cu4 0.8701 0.4115 0.4115
Cu5 0.8021 0.2874 0.8021
Cu6 0.4115 0.8701 0.4115
Cu7 0.5885 0.5885 0.1299
Cu8 0.1979 0.1979 0.7126
Cu9 0.7126 0.1979 0.1979
Cu10 0.1299 0.5885 0.5885
Cu11 0.1979 0.7126 0.1979
Cu12 0.5885 0.1299 0.5885

=====

Number 1: ΔH_f (0 K) 0.11 eV/atom, total energy -3.33 eV/atom. Number 2: ΔH_f (0 K) -0.34 eV/atom, total energy -3.26 eV/atom. Number 3: ΔH_f (0 K) 0.04 eV/atom, total energy -3.51 eV/atom.